Below is a relaxed TeW crystal, with properties calculated at the GGA-PBE level.

Geometry as CIF:
```
data_TeW
_cell_length_a 3.317
_cell_length_b 3.317
_cell_length_c 4.117
_cell_angle_alpha 90.00
_cell_angle_beta 90.00
_cell_angle_gamma 120.00
_space_group_name_H-M_alt 'P 1'
_space_group_IT_number 1
_space_group_name_Hall 'P 1'
loop_
_atom_site_label
_atom_site_fract_x
_atom_site_fract_y
_atom_site_fract_z
Te1 0.000 0.000 0.000
W1 0.667 0.333 0.500
```

Values from the calculation:
Total energy ... -7.153 eV per atom
Space-group type ... P-6m2



Below is a relaxed TeW2 crystal, with properties calculated at the GGA-PBE level.

Geometry as CIF:
```
data_TeW2
_cell_length_a 9.021
_cell_length_b 9.021
_cell_length_c 9.021
_cell_angle_alpha 60.00
_cell_angle_beta 60.00
_cell_angle_gamma 60.00
_space_group_name_H-M_alt 'P 1'
_space_group_IT_number 1
_space_group_name_Hall 'P 1'
loop_
_atom_site_label
_atom_site_fract_x
_atom_site_fract_y
_atom_site_fract_z
Te1 0.125 0.125 0.125
Te2 0.875 0.875 0.875
W1 0.000 0.000 0.000
W2 0.000 0.000 0.500
W3 0.000 0.500 0.000
W4 0.500 0.000 0.000
```

Values from the calculation:
Total energy ... -5.968 eV per atom
Space-group type ... Fd-3m